#1
BeCoPb3 | PBE | optimized geometry

Geometry as POSCAR:
```
BeCoPb3
1.0
5.048 0.000 0.000
0.000 5.048 0.000
0.000 0.000 5.048
Pb Co Be
3 1 1
Direct
0.500 0.000 0.000
0.000 0.000 0.500
0.000 0.500 0.000
0.500 0.500 0.500
0.000 0.000 0.000
```

Computed properties:
Its space group is Pm-3m (221).

---

#2
BeCoPb3 | PBE | optimized geometry

Geometry as POSCAR:
```
BeCoPb3
1.0
5.075 0.000 0.000
0.000 5.075 0.000
0.000 0.000 5.075
Pb Be Co
3 1 1
Direct
0.000 0.000 0.500
0.000 0.500 0.000
0.500 0.000 0.000
0.500 0.500 0.500
0.000 0.000 0.000
```

Computed properties:
Its space group is Pm-3m (221).

---

Most stable structure among those shown: #2.